Material: KV2Cu
Method: DFT, PBE
State: relaxed

a = 10.2802 Å, b = 10.2802 Å, c = 10.2802 Å
α = 155.95°, β = 155.95°, γ = 34.27°
Element x y z (fractional)
K (0.0000, 0.0000, 0.0000)
K (0.7500, 0.2500, 0.5000)
V (0.3534, 0.1250, 0.7284)
V (0.3750, 0.6466, 0.7716)
V (0.3966, 0.6250, 0.2716)
V (0.8750, 0.6034, 0.2284)
Cu (0.2500, 0.7500, 0.5000)
Cu (0.5000, 0.5000, 0.0000)

Calculated values
energy relative to the elements = 1.341 eV/atom
space group = I-42d
magnetization = 0.0 μB per formula unit
calculated total energy = -4.5170 eV per atom
distance to the lowest polymorph of the same formula = 0 meV/atom